This record from the Alexandria database describes MgIn2Tc after structural relaxation. The functional is PBE.

Properties
Magnetization in μB/atom: 0.000
E in eV/atom: -4.16
ΔH_f (0 K) in eV/atom: 0.1963
D(E_F) in states/eV/f.u.: 2.84

a b c (Å): 2.9797 4.9680 5.1593
angles (deg): 90.00 90.00 90.00
Last column: nearest neighbours and their distance in Å.
Space group Pmm2 (No. 25)
Inequivalent atoms, fractional coordinates:
Mg: 0.0000 0.0000 0.0000 x1  8 In 2.90-3.06, 2 Tc 2.94, 2 Mg 2.98
In: 0.5000 0.0000 0.5186 x1  4 Mg 2.90-3.06, 4 In 2.98-3.04, 4 Tc 3.03
In: 0.5000 0.5000 0.1788 x1  4 Tc 2.91-3.05, 4 In 2.98-3.04, 4 Mg 3.04
Tc: 0.0000 0.5000 0.6936 x1  8 In 2.91-3.05, 2 Mg 2.94, 2 Tc 2.98

This record from the Alexandria database describes Si2GeAs4 after structural relaxation. The functional is PBE.

Properties
Magnetization in μB/atom: 0.000
E in eV/atom: -4.87
D(E_F) in states/eV/f.u.: 0.40
Energy relative to the elements, uncorrected in eV/atom: -0.007

a b c (Å): 5.3845 5.3845 11.0412
angles (deg): 90.00 90.00 90.00
Last column: nearest neighbours and their distance in Å.
Space group I-42m (No. 121)
Inequivalent atoms, fractional coordinates:
Si: 0.0000 0.5000 0.2500 x4  4 As 2.43
Ge: 0.0000 0.0000 0.0000 x2  4 As 2.51
As: 0.2168 0.2168 0.6155 x8  2 Si 2.43, 1 Ge 2.51

This record from the Alexandria database describes CaZnBr4 after structural relaxation. The functional is PBE.

Properties
Excess energy over the best structure of this formula in the dataset in meV per atom: 0.0
Magnetization in μB/atom: 0.000
E in eV/atom: -3.08
D(E_F) in states/eV/f.u.: 0.00
Energy relative to the elements, uncorrected in eV/atom: -1.422

a b c (Å): 7.8439 11.3413 8.9095
angles (deg): 90.00 90.00 90.00
Last column: nearest neighbours and their distance in Å.
Space group Cmcm (No. 63)
Inequivalent atoms, fractional coordinates:
Ca: 0.0000 0.0000 0.0000 x4  6 Br 2.88-2.97
Zn: 0.0000 0.3495 0.2500 x4  4 Br 2.38-2.54
Br: 0.0000 0.2542 0.0118 x8  1 Zn 2.38
Br: 0.2502 0.0078 0.7500 x8  1 Zn 2.54

This record from the Alexandria database describes Rb3Dy3ZrS8 after structural relaxation. The functional is PBE.

Properties
Magnetization in μB/atom: 0.000
E in eV/atom: -5.69
D(E_F) in states/eV/f.u.: 0.00
Energy relative to the elements, uncorrected in eV/atom: -1.809

a b c (Å): 7.9633 7.9633 23.4998
angles (deg): 90.00 90.00 120.00
Last column: nearest neighbours and their distance in Å.
Space group R-3m (No. 166, hexagonal axes)
Inequivalent atoms, fractional coordinates:
Rb: 0.0000 0.5000 0.0000 x9  6 S 3.34
Dy: 0.0000 0.5000 0.5000 x9  6 S 2.74-2.76
Zr: 0.0000 0.0000 0.5000 x3  6 S 2.62
S: 0.0000 0.0000 0.2303 x6  3 Dy 2.74
S: 0.0159 0.5079 0.2281 x18  1 Zr 2.62, 2 Dy 2.76

This record from the Alexandria database describes CrInHRh2 after structural relaxation. The functional is PBE.

Properties
Magnetization in μB/atom: 0.736
E in eV/atom: -6.26
D(E_F) in states/eV/f.u.: 2.83

a b c (Å): 4.1071 4.1071 3.8239
angles (deg): 90.00 90.00 90.00
Last column: nearest neighbours and their distance in Å.
Space group P4/mmm (No. 123)
Inequivalent atoms, fractional coordinates:
Cr: 0.0000 0.0000 0.0000 x1  2 H 1.91
In: 0.5000 0.5000 0.0000 x1  8 Rh 2.81, 4 Cr 2.90
H: 0.0000 0.0000 0.5000 x1  2 Cr 1.91, 4 Rh 2.05
Rh: 0.0000 0.5000 0.5000 x2  2 H 2.05

This record from the Alexandria database describes Ca2PdF after structural relaxation. The functional is PBE.

Properties
Excess energy over the best structure of this formula in the dataset in meV per atom: 0.0
Magnetization in μB/atom: 0.000
E in eV/atom: -4.40
D(E_F) in states/eV/f.u.: 1.79
Energy relative to the elements, uncorrected in eV/atom: -1.629

a b c (Å): 6.7941 6.7941 7.8454
angles (deg): 90.00 90.00 90.00
Last column: nearest neighbours and their distance in Å.
Space group I-42d (No. 122)
Inequivalent atoms, fractional coordinates:
Ca: 0.1889 0.7500 0.1250 x8  2 F 2.34
Pd: 0.0000 0.0000 0.5000 x4  4 Ca 2.88
F: 0.0000 0.0000 0.0000 x4  4 Ca 2.34